Record 1
Compound: SnIrOs3
Source: Alexandria
Functional: PBE
Structure: relaxed

CIF file:
```
data_SnIrOs3
_cell_length_a 4.748
_cell_length_b 4.748
_cell_length_c 4.748
_cell_angle_alpha 90.00
_cell_angle_beta 90.00
_cell_angle_gamma 90.00
_space_group_name_H-M_alt 'P m -3 m'
_space_group_IT_number 221
_space_group_name_Hall '-P 4 2 3'
loop_
_atom_site_label
_atom_site_fract_x
_atom_site_fract_y
_atom_site_fract_z
_atom_site_occupancy
Sn1 0.000 0.000 0.000 1
Ir1 0.500 0.500 0.500 1
Os1 0.000 0.500 0.500 1
```

Calculated values
Total moment, μB/f.u.: 0.00
DFT formation energy, eV/atom: 2.0881
N(E_F), states/eV per cell: 6.4
Electronic total energy, eV/cell: -36.1

=====

Record 2
Compound: BWS2N
Source: Alexandria
Functional: PBE
Structure: relaxed

CIF file:
```
data_BWS2N
_cell_length_a 4.734
_cell_length_b 4.734
_cell_length_c 2.761
_cell_angle_alpha 90.00
_cell_angle_beta 90.00
_cell_angle_gamma 90.00
_space_group_name_H-M_alt 'P 4/m m m'
_space_group_IT_number 123
_space_group_name_Hall '-P 4 2'
loop_
_atom_site_label
_atom_site_fract_x
_atom_site_fract_y
_atom_site_fract_z
_atom_site_occupancy
B1 0.000 0.000 0.000 1
W1 0.500 0.500 0.500 1
S1 0.000 0.500 0.000 1
N1 0.000 0.000 0.500 1
```

Calculated values
Total moment, μB/f.u.: 0.00
N(E_F), states/eV per cell: 3.7
Energy relative to the elements, uncorrected, eV per formula unit: 3.61
Electronic total energy, eV/cell: -32.6

=====

Record 3
Compound: La4Sm5Tl2
Source: Alexandria
Functional: PBE
Structure: relaxed

CIF file:
```
data_La4Sm5Tl2
_cell_length_a 3.6563
_cell_length_b 3.6563
_cell_length_c 97.4391
_cell_angle_alpha 90.00
_cell_angle_beta 90.00
_cell_angle_gamma 120.00
_space_group_name_H-M_alt 'R -3 m'
_space_group_IT_number 166
_space_group_name_Hall '-R 3 2"'
loop_
_atom_site_label
_atom_site_fract_x
_atom_site_fract_y
_atom_site_fract_z
_atom_site_occupancy
La1 0.0000 0.0000 0.0843 1
La2 0.0000 0.0000 0.1837 1
Sm1 0.0000 0.0000 0.0000 1
Sm2 0.0000 0.0000 0.1200 1
Sm3 0.0000 0.0000 0.3033 1
Tl1 0.0000 0.0000 0.3901 1
```

Calculated values
Total moment, μB/f.u.: 0.00
DFT formation energy, eV/atom: -0.0200
N(E_F), states/eV per cell: 46.5
Electronic total energy, eV/cell: -144.8

=====

Record 4
Compound: Tb2CeHg
Source: Alexandria
Functional: PBE
Structure: relaxed

CIF file:
```
data_Tb2CeHg
_cell_length_a 3.5697
_cell_length_b 3.5697
_cell_length_c 31.7546
_cell_angle_alpha 90.00
_cell_angle_beta 90.00
_cell_angle_gamma 120.00
_space_group_name_H-M_alt 'R -3 m'
_space_group_IT_number 166
_space_group_name_Hall '-R 3 2"'
loop_
_atom_site_label
_atom_site_fract_x
_atom_site_fract_y
_atom_site_fract_z
_atom_site_occupancy
Tb1 0.0000 0.0000 0.2440 1
Ce1 0.0000 0.0000 0.0000 1
Hg1 0.0000 0.0000 0.5000 1
```

Calculated values
Total moment, μB/f.u.: 0.63
DFT formation energy, eV/atom: -0.1266
N(E_F), states/eV per cell: 19.5
Electronic total energy, eV/cell: -48.0

=====

Q: What is the total moment in the fourth record?
A: 0.63 μB/f.u.

=====

Q: Among the records above, which one has the highest N(E_F)?
A: La4Sm5Tl2

=====

Q: Which of these has the highest total moment?
A: Tb2CeHg